First-principles (PBE-GGA) data for an optimized crystal structure of BaH3Rh, as listed in Alexandria via LeMat-Bulk.

Computed properties:
The energy comes out at -3.995 eV/atom.

Cell lengths 10.2433, 10.2433, 10.2433 Å; angles 158.50, 158.50, 30.59 degrees
Element x y z (fractional)
Ba 0.1054 0.1054 0.0000
Ba 0.8946 0.8946 0.0000
H 0.0004 0.5004 0.5000
H 0.0958 0.3132 0.7826
H 0.4996 0.9996 0.5000
H 0.5306 0.3132 0.2174
H 0.6868 0.4694 0.7826
H 0.6868 0.9042 0.2174
Rh 0.5000 0.5000 0.0000
Rh 0.7500 0.2500 0.5000